Record 1
This record from the Alexandria database describes an optimized crystal structure of RbSr3Au. The functional is PBEsol.

a b c (Å): 6.2000 6.2000 6.2000
angles (deg): 90.00 90.00 90.00
With the nearest neighbours (Å) after each atom.
Space group Pm-3m (No. 221)
Inequivalent atoms, fractional coordinates:
Rb 0.0000 0.0000 0.0000  12 Sr 4.38
Sr 0.0000 0.5000 0.5000  2 Au 3.10
Au 0.5000 0.5000 0.5000  6 Sr 3.10

## Properties
Formation energy from the elements: -0.265 eV/atom

***

Record 2
This record from the Alexandria database describes an optimized crystal structure of Hf3Mn2Ga6. The functional is PBEsol.

a b c (Å): 5.2886 8.5741 7.5648
angles (deg): 90.00 90.00 90.00
With the nearest neighbours (Å) after each atom.
Space group Pmmn (No. 59, origin choice 2)
Inequivalent atoms, fractional coordinates:
Hf 0.2500 0.0308 0.1570  9 Ga 2.77-2.98, 2 Mn 2.92
Hf 0.2500 0.7500 0.7175  7 Ga 2.65-2.90
Mn 0.0000 0.0000 0.5000  6 Ga 2.46-2.71, 2 Mn 2.64
Ga 0.0104 0.7500 0.0406  5 Ga 2.53-2.78, 3 Hf 2.75-2.77
Ga 0.2500 0.0634 0.7645  2 Mn 2.46, 2 Ga 2.57, 1 Hf 2.71
Ga 0.2500 0.2500 0.4408  4 Mn 2.56, 2 Hf 2.85
Ga 0.2500 0.7500 0.3672  3 Hf 2.65-2.89, 4 Mn 2.71, 2 Ga 2.78

## Properties
Formation energy from the elements: -0.443 eV/atom

***

Record 3
This record from the Alexandria database describes an optimized crystal structure of NaAsH4O5. The functional is PBEsol.

a b c (Å): 5.4485 7.0675 5.8703
angles (deg): 90.00 93.69 90.00
With the nearest neighbours (Å) after each atom.
Space group P2_1/m (No. 11)
Inequivalent atoms, fractional coordinates:
Na 0.0000 0.0000 0.0000  6 O 2.36-2.57
As 0.3189 0.2500 0.5248  4 O 1.67-1.73
H 0.2604 0.5668 0.4260  1 O 1.05
H 0.3225 0.7500 0.7919  1 O 1.00
H 0.4507 0.7500 0.0428  1 O 1.00
O 0.1975 0.0641 0.3609  1 H 1.05
O 0.2539 0.2500 0.7996  1 As 1.67, 1 H 1.80
O 0.2864 0.7500 0.9568  2 H 1.00
O 0.3678 0.7500 0.5068  2 H 1.49

## Properties
E above lowest polymorph: 0 meV per atom

***

Record 4
This record from the Alexandria database describes an optimized crystal structure of La5Sc. The functional is PBEsol.

a b c (Å): 6.2290 6.2290 5.7715
angles (deg): 90.00 90.00 120.00
With the nearest neighbours (Å) after each atom.
Space group P-62m (No. 189)
Inequivalent atoms, fractional coordinates:
La 0.0000 0.6846 0.0000  10 La 3.40-3.70, 2 Sc 3.49
La 0.3333 0.6667 0.5000  9 La 3.59-3.60, 3 Sc 3.60
Sc 0.0000 0.0000 0.5000  12 La 3.49-3.60

## Properties
Formation energy from the elements: 0.055 eV/atom
E above lowest polymorph: 9 meV per atom

***

Record 5
This record from the Alexandria database describes an optimized crystal structure of BeAlCo6. The functional is PBEsol.

a b c (Å): 5.3717 11.0042 11.0698
angles (deg): 90.00 90.00 90.00
With the nearest neighbours (Å) after each atom.
Space group Cmmm (No. 65)
Inequivalent atoms, fractional coordinates:
Be 0.0000 0.0000 0.2371  8 Co 2.34
Be 0.0000 0.2554 0.0000  8 Co 2.28-2.29
Al 0.0000 0.2562 0.5000  9 Co 2.45-2.68, 2 Al 2.69
Al 0.0000 0.5000 0.2387  9 Co 2.40-2.64, 2 Be 2.69
Co 0.0000 0.0000 0.0000  8 Co 2.33
Co 0.0000 0.0000 0.5000  8 Co 2.35
Co 0.0000 0.2531 0.2471  8 Co 2.35-2.39
Co 0.0000 0.5000 0.0000  8 Co 2.39, 2 Al 2.64
Co 0.0000 0.5000 0.5000  10 Co 2.42-2.69, 2 Al 2.68
Co 0.2383 0.1199 0.3677  1 Be 2.34, 5 Co 2.35-2.56, 3 Al 2.40-2.46
Co 0.2401 0.1311 0.1178  3 Be 2.28-2.34, 4 Co 2.33-2.39, 1 Al 2.41

## Properties
Formation energy from the elements: -0.133 eV/atom

***

Record 6
This record from the Alexandria database describes an optimized crystal structure of Ca3Sb. The functional is PBEsol.

a b c (Å): 4.9300 4.9300 4.9300
angles (deg): 90.00 90.00 90.00
With the nearest neighbours (Å) after each atom.
Space group Pm-3m (No. 221)
Inequivalent atoms, fractional coordinates:
Ca 0.0000 0.0000 0.5000  4 Sb 3.49, 8 Ca 3.49
Sb 0.5000 0.5000 0.5000  12 Ca 3.49

## Properties
E above lowest polymorph: 0 meV per atom
Raw formation energy: -2.269 eV per formula unit

***

Record 7
This record from the Alexandria database describes an optimized crystal structure of LiLa2Mg. The functional is PBEsol.

a b c (Å): 5.4466 5.4466 7.8924
angles (deg): 90.00 90.00 90.00
With the nearest neighbours (Å) after each atom.
Space group I4/mmm (No. 139)
Inequivalent atoms, fractional coordinates:
Li 0.0000 0.0000 0.0000  8 La 3.36
La 0.0000 0.5000 0.2500  4 Li 3.36, 4 Mg 3.36
Mg 0.0000 0.0000 0.5000  8 La 3.36

## Properties
Formation energy from the elements: 0.043 eV/atom
E above lowest polymorph: 31 meV per atom

***

Record 8
This record from the Alexandria database describes an optimized crystal structure of MgCu2Te. The functional is PBEsol.

a b c (Å): 3.2401 3.2401 23.9181
angles (deg): 90.00 90.00 120.00
With the nearest neighbours (Å) after each atom.
Space group R-3m (No. 166, hexagonal axes)
Inequivalent atoms, fractional coordinates:
Mg 0.0000 0.0000 0.0000  6 Cu 2.75
Cu 0.0000 0.0000 0.2489  3 Te 2.71, 3 Mg 2.75
Te 0.0000 0.0000 0.5000  6 Cu 2.71

## Properties
E above lowest polymorph: 200 meV per atom
Raw formation energy: 1.126 eV per formula unit